[1]
CaZr2Si SCAN single point on PBEsol structure; N(E_F) = 3.47 states/eV/f.u.; formation energy (no corrections) = 0.01 eV per atom
1.0
4.304 0.000 0.000
0.000 4.304 0.000
0.000 0.000 8.849
Ca Zr Si
2 4 2
Direct
0.000 0.000 0.000
0.500 0.500 0.500
0.000 0.500 0.250
0.000 0.500 0.750
0.500 0.000 0.250
0.500 0.000 0.750
0.000 0.000 0.500
0.500 0.500 0.000


[2]
CrHgAs2 SCAN single point on PBEsol structure; energy relative to the elements = 0.2654 eV per atom; N(E_F) = 1.92 states/eV/f.u.
1.0
3.951 0.000 0.000
0.000 3.951 0.000
0.000 0.000 9.280
Cr Hg As
2 2 4
Direct
0.000 0.000 0.000
0.500 0.500 0.500
0.000 0.500 0.250
0.500 0.000 0.750
0.000 0.000 0.500
0.000 0.500 0.750
0.500 0.000 0.250
0.500 0.500 0.000


[3]
GaGeC2 SCAN single point on PBEsol structure; energy relative to the elements = 2.1948 eV per atom; N(E_F) = 1.90 states/eV/f.u.
1.0
5.602 0.000 0.000
0.000 5.602 0.000
0.000 0.000 5.602
Ga Ge C
4 4 8
Direct
0.000 0.000 0.000
0.000 0.500 0.500
0.500 0.000 0.500
0.500 0.500 0.000
0.000 0.000 0.500
0.000 0.500 0.000
0.500 0.000 0.000
0.500 0.500 0.500
0.250 0.250 0.250
0.250 0.250 0.750
0.250 0.750 0.250
0.250 0.750 0.750
0.750 0.250 0.250
0.750 0.250 0.750
0.750 0.750 0.250
0.750 0.750 0.750


[4]
TaCuHg SCAN single point on PBEsol structure; energy relative to the lowest polymorph listed for this composition = 4 meV/atom; energy relative to the elements = 0.3446 eV per atom; N(E_F) = 1.66 states/eV/f.u.
1.0
2.901 0.000 0.000
-1.450 2.512 0.000
0.000 0.000 6.878
Ta Cu Hg
1 1 1
Direct
0.000 0.000 0.000
0.333 0.667 0.691
0.667 0.333 0.369